No. 1
! LiErSi, relaxed, DFT GGA-PBE; values from VASP
! ΔE_f (raw) ... -0.4180 eV/atom
&SYSTEM
  ibrav = 0, nat = 3, ntyp = 3
/
ATOMIC_SPECIES
Er 167.26 Er.upf
Li 6.94 Li.upf
Si 28.09 Si.upf
CELL_PARAMETERS angstrom
-1.6473 1.8695 -3.8791
-0.0255 -2.4462 -3.9079
-3.9921 -1.4884 -1.7619
ATOMIC_POSITIONS angstrom
Er -2.8324 -1.0326 -4.7744
Li 0.0000 0.0000 0.0000
Si -1.4162 -0.5163 -2.3872


No. 2
! Li4ErSi2, relaxed, DFT GGA-PBE; values from VASP
! ΔE_f (raw) ... -0.3188 eV/atom
&SYSTEM
  ibrav = 0, nat = 7, ntyp = 3
/
ATOMIC_SPECIES
Li 6.94 Li.upf
Er 167.26 Er.upf
Si 28.09 Si.upf
CELL_PARAMETERS angstrom
3.8608 0.0000 -0.7992
0.0000 3.9616 0.0000
-0.2394 0.0000 8.4470
ATOMIC_POSITIONS angstrom
Li 1.1110 0.0000 5.2473
Li 0.5832 1.9808 2.8220
Li 3.0383 1.9808 4.8258
Li 2.5105 0.0000 2.4005
Er 0.0000 0.0000 0.0000
Si 1.4539 1.9808 6.9155
Si 2.1676 1.9808 0.7323


No. 3
! LiErSi, relaxed, DFT GGA-PBE; values from VASP
! ΔE_f (raw) ... -0.5031 eV/atom
&SYSTEM
  ibrav = 0, nat = 18, ntyp = 3
/
ATOMIC_SPECIES
Li 6.94 Li.upf
Er 167.26 Er.upf
Si 28.09 Si.upf
CELL_PARAMETERS angstrom
-2.8249 1.4531 2.7713
-1.6762 -6.4961 1.6976
8.5586 0.0628 8.6910
ATOMIC_POSITIONS angstrom
Li 5.0213 -2.9586 9.8759
Li 3.0620 -2.9730 7.8863
Li 0.9956 -2.0072 5.2736
Li -0.5605 -4.2486 4.8626
Li -0.9637 -2.0216 3.2840
Li 4.6181 -0.7317 8.2973
Er 2.6871 -4.8596 5.2871
Er 4.1953 -1.5737 5.1016
Er 4.9422 -5.6763 8.0139
Er 7.8130 -1.5472 8.7752
Er 1.9403 -0.7571 2.3747
Er -0.9305 -4.8861 1.6134
Si 4.7309 -5.4265 10.8740
Si 1.9801 0.4658 4.9805
Si 1.2325 -3.4999 3.0915
Si 5.6499 -2.9334 7.2972
Si -0.6734 0.4463 2.2859
Si 2.0775 -5.4460 8.1794


No. 4
! Li2Er2Si3, relaxed, DFT GGA-PBE; values from VASP
! ΔE_f (raw) ... -0.5879 eV/atom
&SYSTEM
  ibrav = 0, nat = 14, ntyp = 3
/
ATOMIC_SPECIES
Er 167.26 Er.upf
Si 28.09 Si.upf
Li 6.94 Li.upf
CELL_PARAMETERS angstrom
-2.1792 3.5912 -0.3984
-4.6127 -3.1975 -3.5911
-3.4185 -3.7006 7.6861
ATOMIC_POSITIONS angstrom
Er -2.5624 -1.3948 1.4425
Er -6.2777 -0.7087 5.6039
Er -3.9328 -2.5981 -1.9073
Er -7.6481 -1.9120 2.2540
Si -1.9591 1.3392 0.4428
Si -5.4521 -3.2401 0.6158
Si -6.6026 -3.5031 4.5373
Si -4.7584 -0.0667 3.0807
Si -8.2513 -4.6460 3.2537
Si -3.6079 0.1963 -0.8408
Li -5.3911 -0.7217 0.6376
Li -7.1391 -1.9334 -0.7232
Li -3.0714 -1.3734 4.4198
Li -4.8194 -2.5851 3.0589


No. 5
! Li4Er3Si4, relaxed, DFT GGA-PBE; values from VASP
! ΔE_f (raw) ... -0.5415 eV/atom
&SYSTEM
  ibrav = 0, nat = 11, ntyp = 3
/
ATOMIC_SPECIES
Li 6.94 Li.upf
Si 28.09 Si.upf
Er 167.26 Er.upf
CELL_PARAMETERS angstrom
-3.3365 2.6099 -0.4212
-1.9071 -3.2999 -5.3397
-1.2401 -3.9419 6.9091
ATOMIC_POSITIONS angstrom
Li -4.3130 -2.4481 -2.5153
Li -3.5849 -1.1883 -0.4768
Li -2.8988 -3.4436 1.6249
Li -2.1707 -2.1838 3.6634
Si -2.6027 -3.4806 -0.9495
Si -2.0162 0.7028 -1.1850
Si -3.2274 -1.3928 -4.5760
Si -3.8810 -1.1513 2.0977
Er -5.4921 -3.5313 0.1138
Er -0.9536 -1.6499 -2.6699
Er -0.9916 -1.1007 1.0344


No. 6
! LiErSi2, relaxed, DFT GGA-PBE; values from VASP
! Relative energy among the computed polymorphs ... 0.2 kJ/mol of atoms
! ΔE_f (raw) ... -0.5474 eV/atom
&SYSTEM
  ibrav = 0, nat = 16, ntyp = 3
/
ATOMIC_SPECIES
Si 28.09 Si.upf
Er 167.26 Er.upf
Li 6.94 Li.upf
CELL_PARAMETERS angstrom
4.0926 0.0000 0.0000
0.0000 6.5665 0.0000
0.0000 0.0000 10.7327
ATOMIC_POSITIONS angstrom
Si 3.0695 2.1559 6.7673
Si 3.0695 5.4391 9.3318
Si 1.0232 3.4686 1.7979
Si 3.0695 3.0980 8.9348
Si 1.0232 4.4107 3.9654
Si 1.0232 0.1853 3.5684
Si 1.0232 1.1274 1.4009
Si 3.0695 6.3812 7.1643
Er 1.0232 0.9888 9.0439
Er 3.0695 2.2945 3.6775
Er 3.0695 5.5778 1.6888
Er 1.0232 4.2720 7.0551
Li 1.0232 0.9187 5.9407
Li 1.0232 4.2020 10.1584
Li 3.0695 5.6478 4.7920
Li 3.0695 2.3646 0.5743


No. 7
! Li2TbEr2Si2, relaxed, DFT GGA-PBE; values from VASP
! ΔE_f (raw) ... -0.3916 eV/atom
&SYSTEM
  ibrav = 0, nat = 7, ntyp = 4
/
ATOMIC_SPECIES
Er 167.26 Er.upf
Si 28.09 Si.upf
Li 6.94 Li.upf
Tb 158.93 Tb.upf
CELL_PARAMETERS angstrom
4.4255 0.0000 0.0000
2.2127 3.8326 0.0000
2.2127 1.2775 8.7164
ATOMIC_POSITIONS angstrom
Er 6.6382 3.8326 3.3319
Er 2.2128 1.2775 5.3845
Si 2.2127 1.2775 1.8679
Si 6.6382 3.8326 6.8485
Li 4.4255 2.5551 1.7754
Li 4.4255 2.5551 6.9411
Tb 0.0000 0.0000 0.0000


No. 8
! LiTbErSi, relaxed, DFT GGA-PBE; values from VASP
! ΔE_f (raw) ... -0.3558 eV/atom
&SYSTEM
  ibrav = 0, nat = 4, ntyp = 4
/
ATOMIC_SPECIES
Er 167.26 Er.upf
Si 28.09 Si.upf
Tb 158.93 Tb.upf
Li 6.94 Li.upf
CELL_PARAMETERS angstrom
-4.7165 -0.4909 1.4247
-1.0560 -1.3094 4.6569
-2.0043 3.2957 3.1045
ATOMIC_POSITIONS angstrom
Er -3.8884 0.7477 4.5931
Si -5.8326 1.1215 6.8896
Tb 0.0000 0.0000 0.0000
Li -1.9442 0.3738 2.2965


No. 9
! Li2TbErSi2, relaxed, DFT GGA-PBE; values from VASP
! ΔE_f (raw) ... -0.5677 eV/atom
&SYSTEM
  ibrav = 0, nat = 6, ntyp = 4
/
ATOMIC_SPECIES
Tb 158.93 Tb.upf
Si 28.09 Si.upf
Li 6.94 Li.upf
Er 167.26 Er.upf
CELL_PARAMETERS angstrom
4.3668 0.0000 0.0000
-2.1834 3.7818 0.0000
0.0000 0.0000 7.0984
ATOMIC_POSITIONS angstrom
Tb 0.0000 0.0000 0.0000
Si 0.0000 2.5212 1.8087
Si 2.1834 1.2606 5.2897
Li 0.0000 2.5212 5.2305
Li 2.1834 1.2606 1.8679
Er 0.0000 0.0000 3.5492


No. 10
! Li2Tb2ErSi2, relaxed, DFT GGA-PBE; values from VASP
! ΔE_f (raw) ... -0.3905 eV/atom
&SYSTEM
  ibrav = 0, nat = 7, ntyp = 4
/
ATOMIC_SPECIES
Si 28.09 Si.upf
Tb 158.93 Tb.upf
Er 167.26 Er.upf
Li 6.94 Li.upf
CELL_PARAMETERS angstrom
4.3916 0.0000 0.0000
2.1958 3.8033 0.0000
2.1958 1.2678 8.9841
ATOMIC_POSITIONS angstrom
Si 2.1958 1.2677 1.7818
Si 6.5874 3.8033 7.2023
Tb 6.5874 3.8033 3.3680
Tb 2.1958 1.2678 5.6161
Er 0.0000 0.0000 0.0000
Li 4.3916 2.5355 1.6210
Li 4.3916 2.5355 7.3631


No. 11
! LiErTmSi, relaxed, DFT GGA-PBE; values from VASP
! ΔE_f (raw) ... -0.3428 eV/atom
&SYSTEM
  ibrav = 0, nat = 4, ntyp = 4
/
ATOMIC_SPECIES
Si 28.09 Si.upf
Tm 168.93 Tm.upf
Er 167.26 Er.upf
Li 6.94 Li.upf
CELL_PARAMETERS angstrom
-3.0012 -2.9895 2.4713
-1.2868 -4.3229 -1.9258
1.7312 -4.1599 1.9365
ATOMIC_POSITIONS angstrom
Si -0.6392 -2.8681 0.6205
Tm -1.2784 -5.7361 1.2410
Er 0.0000 0.0000 0.0000
Li -1.9176 -8.6042 1.8615


No. 12
! LiErZnSi, relaxed, DFT GGA-PBE; values from VASP
! ΔE_f (raw) ... -0.3554 eV/atom
&SYSTEM
  ibrav = 0, nat = 4, ntyp = 4
/
ATOMIC_SPECIES
Er 167.26 Er.upf
Si 28.09 Si.upf
Li 6.94 Li.upf
Zn 65.41 Zn.upf
CELL_PARAMETERS angstrom
4.7134 0.0000 0.0000
2.3567 4.0819 0.0000
2.3567 1.3606 3.8485
ATOMIC_POSITIONS angstrom
Er 0.0000 0.0000 0.0000
Si 2.3567 1.3606 0.9621
Li 4.7134 2.7213 1.9242
Zn 7.0701 4.0819 2.8864